# 1
Material: NdGa3Ag
Method: DFT, PBE
State: relaxed

Summary:
Final energy: -3.65 eV/atom
Spin magnetization: 0.000 μB/f.u.
Formation energy from the elements: -0.31 eV per atom
Polymorph energy (0 for the lowest one): 132 meV per atom

POSCAR file:
```
NdGa3Ag
1.0
-5.622 -2.590 -0.810
0.009 -1.764 5.569
-2.578 5.090 1.616
Ga Nd Ag
6 2 2
Direct
0.483 0.881 0.434
0.983 0.472 0.467
0.825 0.071 0.701
0.483 0.881 0.967
0.983 0.472 0.935
0.325 0.282 0.201
0.430 0.350 0.701
0.930 0.003 0.201
0.657 0.537 0.201
0.157 0.816 0.701
```



# 2
Material: Cs2KZnPb
Method: DFT, PBE
State: relaxed

Summary:
Final energy: -1.50 eV/atom
Spin magnetization: 0.411 μB/f.u.
Formation energy from the elements: 0.06 eV per atom

POSCAR file:
```
Cs2KZnPb
1.0
7.314 0.000 0.000
0.000 7.314 0.000
0.000 0.000 5.313
Cs Zn Pb K
2 1 1 1
Direct
0.000 0.500 0.000
0.500 0.000 0.000
0.000 0.000 0.000
0.000 0.000 0.500
0.500 0.500 0.500
```